A relaxed LaCo2As crystal, computed with PBE.

Unit cell a=3.9215 b=3.9728 c=4.7880 alpha=90.00 beta=95.24 gamma=90.00
Closest atoms and distances in Å follow each position.
Fractional positions:
La 0.0000 0.0000 0.0000  3 Co 2.68-2.89
Co 0.0539 0.5000 0.5677  2 As 2.26-2.27
Co 0.5276 0.0000 0.5599  2 As 2.27
As 0.5282 0.5000 0.3295  4 Co 2.26-2.27

## Properties
energy of formation from the pure elements: -123 kJ/mol of formula units

***

A relaxed Co3Ge2 crystal, computed with PBE.

Unit cell a=8.6364 b=3.7297 c=7.7646 alpha=90.00 beta=90.00 gamma=90.00
Closest atoms and distances in Å follow each position.
Fractional positions:
Co 0.0400 0.2500 0.1334  5 Ge 2.40-2.50, 3 Co 2.50-2.69
Co 0.1489 0.7500 0.6226  5 Ge 2.36-2.45, 4 Co 2.50-2.60
Co 0.1904 0.2500 0.8390  5 Ge 2.37-2.61, 4 Co 2.54-2.63
Co 0.3096 0.7500 0.3390  5 Ge 2.37-2.61, 4 Co 2.54-2.63
Co 0.3511 0.2500 0.1226  5 Ge 2.36-2.45, 4 Co 2.50-2.60
Co 0.4600 0.7500 0.6334  5 Ge 2.40-2.50, 3 Co 2.50-2.69
Co 0.5400 0.2500 0.3666  5 Ge 2.40-2.50, 3 Co 2.50-2.69
Co 0.6489 0.7500 0.8774  5 Ge 2.36-2.45, 4 Co 2.50-2.60
Co 0.6904 0.2500 0.6610  5 Ge 2.37-2.61, 4 Co 2.54-2.63
Co 0.8096 0.7500 0.1610  5 Ge 2.37-2.61, 4 Co 2.54-2.63
Co 0.8511 0.2500 0.3774  5 Ge 2.36-2.45, 4 Co 2.50-2.60
Co 0.9600 0.7500 0.8666  5 Ge 2.40-2.50, 3 Co 2.50-2.69
Ge 0.0332 0.7500 0.3468  7 Co 2.36-2.50
Ge 0.1979 0.7500 0.0269  8 Co 2.37-2.61
Ge 0.3021 0.2500 0.5269  8 Co 2.37-2.61
Ge 0.4668 0.2500 0.8468  7 Co 2.36-2.50
Ge 0.5332 0.7500 0.1532  7 Co 2.36-2.50
Ge 0.6979 0.7500 0.4731  8 Co 2.37-2.61
Ge 0.8021 0.2500 0.9731  8 Co 2.37-2.61
Ge 0.9668 0.2500 0.6532  7 Co 2.36-2.50

## Properties
energy of formation from the pure elements: -48 kJ/mol of formula units

***

A relaxed RbLaTaGeTe crystal, computed with PBE.

Unit cell a=4.5138 b=4.5138 c=9.6715 alpha=90.00 beta=90.00 gamma=120.00
Closest atoms and distances in Å follow each position.
Fractional positions:
Rb 0.0000 0.0000 0.0000  3 Te 3.65, 3 Ta 3.95, 3 Ge 4.04
La 0.0000 0.0000 0.5365  3 Te 3.24, 3 Ge 3.35, 3 Ta 3.43
Ta 0.6667 0.3333 0.3065  3 Ge 2.61
Ge 0.3333 0.6667 0.3189  3 Ta 2.61
Te 0.6667 0.3333 0.7351  3 La 3.24

## Properties
formation energy (no corrections): -0.29 eV/atom

***

A relaxed Tl4ZnTe crystal, computed with PBE.

Unit cell a=6.5239 b=6.5239 c=6.5239 alpha=60.00 beta=60.00 gamma=60.00
Closest atoms and distances in Å follow each position.
Fractional positions:
Tl 0.1254 0.1254 0.1254  6 Tl 3.25-3.27
Tl 0.1254 0.1254 0.6238  6 Tl 3.25-3.27
Tl 0.1254 0.6238 0.1254  6 Tl 3.25-3.27
Tl 0.6238 0.1254 0.1254  6 Tl 3.25-3.27
Zn 0.7500 0.7500 0.7500  12 Tl 3.83, 4 Te 4.00
Te 0.5000 0.5000 0.5000  12 Tl 3.82, 4 Zn 4.00

## Properties
formation energy (no corrections): 0.17 eV/atom

***

A relaxed VPb4N4 crystal, computed with PBE.

Unit cell a=6.5189 b=7.4754 c=8.7032 alpha=72.66 beta=86.45 gamma=72.19
Closest atoms and distances in Å follow each position.
Fractional positions:
V 0.2218 0.2419 0.2549  4 N 1.80-1.87
V 0.7782 0.7581 0.7451  4 N 1.80-1.87
Pb 0.1687 0.3880 0.8642  2 N 2.37
Pb 0.2281 0.5946 0.4131  2 N 2.36-2.48
Pb 0.2715 0.9998 0.6070  3 N 2.37-2.46
Pb 0.3025 0.7383 0.0069  3 N 2.35-2.45
Pb 0.6975 0.2617 0.9931  3 N 2.35-2.45
Pb 0.7285 0.0002 0.3930  3 N 2.37-2.46
Pb 0.7719 0.4054 0.5869  2 N 2.36-2.48
Pb 0.8313 0.6120 0.1358  2 N 2.37
N 0.0039 0.7070 0.8905  1 V 1.87
N 0.0958 0.3300 0.4256  1 V 1.85
N 0.3777 0.9903 0.3436  1 V 1.80
N 0.3944 0.3900 0.1507  1 V 1.83
N 0.6056 0.6100 0.8493  1 V 1.83
N 0.6223 0.0097 0.6564  1 V 1.80
N 0.9042 0.6700 0.5744  1 V 1.85
N 0.9961 0.2930 0.1095  1 V 1.87

## Properties
formation energy (no corrections): 0.16 eV/atom

***

A relaxed AlOs2Br crystal, computed with PBE.

Unit cell a=2.9049 b=2.9049 c=25.3389 alpha=90.00 beta=90.00 gamma=120.00
Closest atoms and distances in Å follow each position.
Fractional positions:
Al 0.0000 0.0000 0.0000  6 Os 2.63, 6 Al 2.90
Al 0.3333 0.6667 0.6667  6 Os 2.63, 6 Al 2.90
Al 0.6667 0.3333 0.3333  6 Os 2.63, 6 Al 2.90
Os 0.0000 0.0000 0.2535  3 Al 2.63, 3 Br 2.77, 6 Os 2.90
Os 0.0000 0.0000 0.7465  3 Al 2.63, 3 Br 2.77, 6 Os 2.90
Os 0.3333 0.6667 0.4132  3 Al 2.63, 3 Br 2.77, 6 Os 2.90
Os 0.3333 0.6667 0.9201  3 Al 2.63, 3 Br 2.77, 6 Os 2.90
Os 0.6667 0.3333 0.0799  3 Al 2.63, 3 Br 2.77, 6 Os 2.90
Os 0.6667 0.3333 0.5868  3 Al 2.63, 3 Br 2.77, 6 Os 2.90
Br 0.0000 0.0000 0.5000  6 Os 2.77, 6 Br 2.90
Br 0.3333 0.6667 0.1667  6 Os 2.77, 6 Br 2.90
Br 0.6667 0.3333 0.8333  6 Os 2.77, 6 Br 2.90

## Properties
formation energy (no corrections): 0.58 eV/atom

***

A relaxed TiTl2V crystal, computed with PBE.

Unit cell a=6.8234 b=6.8234 c=6.8234 alpha=90.00 beta=90.00 gamma=90.00
Closest atoms and distances in Å follow each position.
Fractional positions:
Ti 0.0000 0.0000 0.0000  8 Tl 2.95
Ti 0.0000 0.5000 0.5000  8 Tl 2.95
Ti 0.5000 0.0000 0.5000  8 Tl 2.95
Ti 0.5000 0.5000 0.0000  8 Tl 2.95
Tl 0.2500 0.2500 0.2500  4 Ti 2.95, 4 V 2.95
Tl 0.2500 0.2500 0.7500  4 Ti 2.95, 4 V 2.95
Tl 0.2500 0.7500 0.2500  4 Ti 2.95, 4 V 2.95
Tl 0.2500 0.7500 0.7500  4 V 2.95, 4 Ti 2.95
Tl 0.7500 0.2500 0.2500  4 Ti 2.95, 4 V 2.95
Tl 0.7500 0.2500 0.7500  4 V 2.95, 4 Ti 2.95
Tl 0.7500 0.7500 0.2500  4 V 2.95, 4 Ti 2.95
Tl 0.7500 0.7500 0.7500  4 Ti 2.95, 4 V 2.95
V 0.0000 0.0000 0.5000  8 Tl 2.95
V 0.0000 0.5000 0.0000  8 Tl 2.95
V 0.5000 0.0000 0.0000  8 Tl 2.95
V 0.5000 0.5000 0.5000  8 Tl 2.95

## Properties
energy of formation from the pure elements: 159 kJ/mol of formula units

***

A relaxed YIn2OsO8 crystal, computed with PBE.

Unit cell a=4.9389 b=6.6277 c=4.9503 alpha=90.00 beta=90.74 gamma=90.00
Closest atoms and distances in Å follow each position.
Fractional positions:
Y 0.0000 0.0000 0.0000  6 O 2.15-2.33
In 0.5000 0.2491 0.5000  6 O 2.12-2.27
In 0.5000 0.7509 0.5000  6 O 2.12-2.27
Os 0.0000 0.5000 0.0000  6 O 1.90-1.93
O 0.1868 0.2911 0.8157  1 Os 1.90
O 0.1868 0.7089 0.8157  1 Os 1.90
O 0.2772 0.5000 0.2794  1 Os 1.93
O 0.3082 0.0000 0.3105  2 In 2.12, 1 Y 2.15
O 0.6918 0.0000 0.6895  2 In 2.12, 1 Y 2.15
O 0.7228 0.5000 0.7206  1 Os 1.93
O 0.8132 0.2911 0.1843  1 Os 1.90
O 0.8132 0.7089 0.1843  1 Os 1.90

## Properties
formation energy (no corrections): -1.66 eV/atom

***

| no. | N(E_F) (states/eV per cell) | volume (A^3/atom) |
| --- | --- | --- |
| 1 | 1.66 | 18.57 |
| 2 | 23.59 | 12.51 |
| 3 | 3.98 | 34.14 |
| 4 | 3.83 | 32.72 |
| 5 | 2.06 | 21.40 |
| 6 | 7.68 | 15.43 |
| 7 | 15.48 | 19.86 |
| 8 | 3.62 | 13.50 |